[1]
K4CoW: optimized geometry, PBE.

```
K4CoW
1.0
6.5992 -1.8127 -1.2858
2.1464 -6.4926 1.3142
1.4623 -4.3163 -5.2649
Co K W
1 4 1
Cartesian
0.0000 0.0000 0.0000
3.8310 -4.7369 -1.9652
4.5604 -6.8899 -4.5914
7.1227 -5.6411 -2.6066
4.9016 -7.9755 -1.3097
7.6559 -9.4663 -3.9274
```

Summary:
Energy of formation, meV per atom: 1772
Space-group type: F-43m
Crystal system: cubic


[2]
NaLi2Si: optimized geometry, PBE.

```
NaLi2Si
1.0
-3.1083 2.9853 -0.3191
-2.9746 -3.0001 0.9089
-2.1768 1.8509 9.2589
Si Li Na
2 4 2
Cartesian
0.0000 0.0000 0.0000
-4.1633 2.4144 4.6174
-3.6790 1.6193 7.0937
-3.1039 2.1890 2.2038
-2.5467 -1.2747 2.8681
-7.1898 1.1385 7.5320
-3.0415 -0.0074 0.2949
-4.0965 -0.5783 5.2314
```

Summary:
Space-group type: I-42d
Crystal system: tetragonal
Formation energy (no corrections), eV per atom: 0.180


[3]
Sr2PPt: optimized geometry, PBE.

```
Sr2PPt
1.0
8.0670 0.0000 0.0000
0.0000 8.0670 0.0000
4.0335 4.0335 3.4227
P Sr Pt
2 4 2
Cartesian
4.0335 8.0670 1.7113
4.0335 4.0335 0.0000
10.0837 10.0728 2.5670
2.0276 6.0502 0.8557
6.0394 2.0167 0.8557
6.0502 6.0611 2.5670
8.0670 4.0335 1.7113
0.0000 0.0000 0.0000
```

Summary:
Energy of formation, meV per atom: -479
Space-group type: I-42d
Crystal system: tetragonal


[4]
TbDy2AgHg4: optimized geometry, PBE.

```
TbDy2AgHg4
1.0
-0.5795 -3.8381 -3.3268
2.9033 -4.1888 0.3990
-5.1201 -6.2686 4.1959
Ag Hg Dy Tb
1 4 2 1
Cartesian
-1.3982 -7.1478 0.6340
-3.6386 -8.5133 2.5997
0.1383 -9.3590 -1.0104
0.8423 -5.7822 -1.3316
-2.9347 -4.9365 2.2785
-1.9532 -10.6339 0.8247
-0.8431 -3.6616 0.4434
0.0000 0.0000 0.0000
```

Summary:
Energy of formation, meV per atom: -393
Space-group type: R-3m
Crystal system: trigonal


[5]
KAsRh2: optimized geometry, PBE.

```
KAsRh2
1.0
-4.2917 1.8461 0.2991
-3.7540 -2.6427 -0.9167
-2.8635 -1.2840 3.4739
K Rh As
1 2 1
Cartesian
-8.1819 -1.5605 2.1423
0.0000 0.0000 0.0000
-2.7273 -0.5202 0.7141
-5.4546 -1.0403 1.4282
```

Summary:
Energy of formation, meV per atom: 607
Space-group type: F-43m
Crystal system: cubic


[6]
Ti4V2C: optimized geometry, PBE.

```
Ti4V2C
1.0
4.0242 0.0000 0.0000
0.0000 4.0242 0.0000
2.0121 2.0121 7.0426
Ti V C
4 2 1
Cartesian
0.0000 2.0121 0.0000
2.0121 0.0000 0.0000
4.0242 4.0242 2.0828
2.0121 2.0121 4.9598
4.0242 4.0242 4.8897
2.0121 2.0121 2.1529
0.0000 0.0000 0.0000
```

Summary:
Energy of formation, meV per atom: 195
Space-group type: I4/mmm
Crystal system: tetragonal


[7]
SrCrPt2: optimized geometry, PBE.

```
SrCrPt2
1.0
-2.3793 -2.8819 -3.8608
3.1300 -3.9084 -1.9493
-1.4315 1.5306 4.9478
Pt Cr Sr
2 1 1
Cartesian
1.0369 -2.8865 0.0467
0.0000 0.0000 0.0000
-1.7177 -2.3733 -0.9090
0.3753 -3.3952 -2.9050
```

Summary:
Relative energy among the computed polymorphs, meV/atom: 392.3
Energy of formation, meV per atom: -39
Space-group type: I-4m2
Crystal system: tetragonal


[8]
Ag3P: optimized geometry, PBE.

```
Ag3P
1.0
5.9178 0.0000 0.0000
0.0000 6.3996 0.0000
0.0000 0.0000 7.7559
P Ag
4 12
Cartesian
2.5495 1.1560 1.9390
0.4094 4.3558 1.9390
3.3683 5.2436 5.8169
5.5083 2.0438 5.8169
5.3453 4.6232 7.3138
3.5314 1.4234 7.3138
0.5725 1.7764 3.4359
5.3453 4.6232 4.3200
2.3864 4.9762 3.4359
3.5314 1.4234 4.3200
2.3864 4.9762 0.4421
4.2208 2.9970 1.9390
1.6970 3.4026 5.8169
1.2619 0.2028 5.8169
0.5725 1.7764 0.4421
4.6559 6.1968 1.9390
```

Summary:
Energy of formation, meV per atom: 127
Space-group type: Pnma
Crystal system: orthorhombic